# 1
Li2AcIn4Pd: relaxed, PBE.

Lattice parameters (Å, degrees): 4.670 4.670 10.248 76.83 76.83 60.00
Atoms (fractional coordinates):
Li 0.229 0.229 0.312
Li 0.771 0.771 0.688
Ac 0.000 0.000 0.000
In 0.130 0.130 0.610
In 0.405 0.405 0.785
In 0.870 0.870 0.390
In 0.595 0.595 0.215
Pd 0.500 0.500 0.500

Properties
SG: R-3m (166)
D(E_F) (states/eV per cell): 3.9
Calculated total energy (eV/atom): -3.423



# 2
LiAc2In2Pd5: relaxed, PBE.

Lattice parameters (Å, degrees): 3.634 10.992 10.992 90.00 90.00 90.00
Atoms (fractional coordinates):
In 0.000 0.629 0.871
In 0.000 0.871 0.371
In 0.000 0.129 0.629
In 0.000 0.371 0.129
Pd 0.500 0.049 0.808
Pd 0.500 0.808 0.951
Pd 0.500 0.192 0.049
Pd 0.500 0.549 0.692
Pd 0.500 0.692 0.451
Pd 0.500 0.500 0.000
Pd 0.500 0.000 0.500
Pd 0.500 0.308 0.549
Pd 0.500 0.951 0.192
Pd 0.500 0.451 0.308
Li 0.000 0.500 0.500
Li 0.000 0.000 0.000
Ac 0.000 0.172 0.328
Ac 0.000 0.828 0.672
Ac 0.000 0.328 0.828
Ac 0.000 0.672 0.172

Properties
SG: P4/mbm (127)
D(E_F) (states/eV per cell): 13.2
Calculated total energy (eV/atom): -4.611



# 3
LiAcIn2Pd: relaxed, PBE.

Lattice parameters (Å, degrees): 4.359 4.295 7.326 107.05 107.31 90.00
Atoms (fractional coordinates):
Li 0.198 0.698 0.395
In 0.701 0.201 0.402
In 0.051 0.051 0.102
Ac 0.421 0.421 0.842
Pd 0.841 0.841 0.683

Properties
SG: Imm2 (44)
D(E_F) (states/eV per cell): 2.8
Calculated total energy (eV/atom): -3.866



# 4
Li2Ac2PrIn2: relaxed, PBE.

Lattice parameters (Å, degrees): 5.055 5.055 10.023 75.40 75.40 60.00
Atoms (fractional coordinates):
In 0.270 0.270 0.189
In 0.730 0.730 0.811
Li 0.614 0.614 0.157
Li 0.386 0.386 0.843
Ac 0.125 0.125 0.625
Ac 0.875 0.875 0.375
Pr 0.000 0.000 0.000

Properties
SG: R-3m (166)
D(E_F) (states/eV per cell): 5.6
Calculated total energy (eV/atom): -3.438



# 5
Li2AcPrIn2: relaxed, PBE.

Lattice parameters (Å, degrees): 5.139 5.139 7.201 90.00 90.00 120.00
Atoms (fractional coordinates):
In 0.333 0.667 0.274
In 0.667 0.333 0.726
Li 0.333 0.667 0.724
Li 0.667 0.333 0.276
Pr 0.000 0.000 0.500
Ac 0.000 0.000 0.000

Properties
SG: P-3m1 (164)
D(E_F) (states/eV per cell): 5.4
Calculated total energy (eV/atom): -3.350



# 6
LiAc2In12Pt3: relaxed, PBE.

Lattice parameters (Å, degrees): 8.557 8.557 8.557 71.32 71.32 71.32
Atoms (fractional coordinates):
In 0.708 0.708 0.124
In 0.633 0.144 0.144
In 0.367 0.856 0.856
In 0.292 0.292 0.876
In 0.292 0.876 0.292
In 0.856 0.367 0.856
In 0.708 0.124 0.708
In 0.856 0.856 0.367
In 0.876 0.292 0.292
In 0.124 0.708 0.708
In 0.144 0.633 0.144
In 0.144 0.144 0.633
Ac 0.406 0.406 0.406
Ac 0.594 0.594 0.594
Li 0.000 0.000 0.000
Pt 0.000 0.500 0.000
Pt 0.500 0.000 0.000
Pt 0.000 0.000 0.500

Properties
SG: R-3m (166)
D(E_F) (states/eV per cell): 7.6
Calculated total energy (eV/atom): -3.540



# 7
Li2Ac2InPt5: relaxed, PBE.

Lattice parameters (Å, degrees): 3.973 9.805 9.805 90.00 90.00 90.00
Atoms (fractional coordinates):
Pt 0.500 0.285 0.564
Pt 0.500 0.564 0.715
Pt 0.500 0.215 0.064
Pt 0.500 0.785 0.936
Pt 0.500 0.436 0.285
Pt 0.500 0.064 0.785
Pt 0.500 0.500 0.000
Pt 0.500 0.000 0.500
Pt 0.500 0.936 0.215
Pt 0.500 0.715 0.436
Ac 0.000 0.181 0.319
Ac 0.000 0.319 0.819
Ac 0.000 0.819 0.681
Ac 0.000 0.681 0.181
Li 0.000 0.384 0.116
Li 0.000 0.884 0.384
Li 0.000 0.116 0.616
Li 0.000 0.616 0.884
In 0.000 0.000 0.000
In 0.000 0.500 0.500

Properties
SG: P4/mbm (127)
D(E_F) (states/eV per cell): 7.3
Calculated total energy (eV/atom): -5.300



# 8
Li3Ac2InPt4: relaxed, PBE.

Lattice parameters (Å, degrees): 4.307 4.307 11.041 90.00 90.00 90.00
Atoms (fractional coordinates):
Ac 0.000 0.500 0.776
Ac 0.500 0.000 0.224
Pt 0.500 0.500 0.000
Pt 0.000 0.500 0.344
Pt 0.000 0.000 0.000
Pt 0.500 0.000 0.656
In 0.500 0.500 0.500
Li 0.000 0.500 0.112
Li 0.000 0.000 0.500
Li 0.500 0.000 0.888

Properties
SG: P-4m2 (115)
D(E_F) (states/eV per cell): 3.5
Calculated total energy (eV/atom): -4.883



# 9
LiAcPuIn: relaxed, PBE.

Lattice parameters (Å, degrees): 5.406 5.406 5.406 60.00 60.00 60.00
Atoms (fractional coordinates):
In 0.000 0.000 0.000
Pu 0.750 0.750 0.750
Ac 0.500 0.500 0.500
Li 0.250 0.250 0.250

Properties
SG: F-43m (216)
D(E_F) (states/eV per cell): 10.7
Calculated total energy (eV/atom): -5.718



# 10
Li2AcInRh: relaxed, PBE.

Lattice parameters (Å, degrees): 4.055 4.213 7.240 106.92 106.26 90.00
Atoms (fractional coordinates):
Rh 0.849 0.849 0.697
Li 0.707 0.207 0.413
Li 0.049 0.049 0.098
In 0.194 0.694 0.389
Ac 0.413 0.413 0.827

Properties
SG: Imm2 (44)
D(E_F) (states/eV per cell): 2.6
Calculated total energy (eV/atom): -3.987



# 11
LiAcInRh: relaxed, PBE.

Lattice parameters (Å, degrees): 5.027 5.027 5.027 60.00 60.00 60.00
Atoms (fractional coordinates):
Ac 0.000 0.000 0.000
Rh 0.250 0.250 0.250
Li 0.750 0.750 0.750
In 0.500 0.500 0.500

Properties
SG: F-43m (216)
D(E_F) (states/eV per cell): 3.7
Calculated total energy (eV/atom): -4.405



# 12
LiAc2In6Rh: relaxed, PBE.

Lattice parameters (Å, degrees): 7.240 7.240 7.237 60.02 60.02 90.05
Atoms (fractional coordinates):
Rh 0.000 0.000 0.000
In 0.743 0.743 0.000
In 0.743 0.257 0.000
In 0.255 0.255 0.486
In 0.745 0.745 0.514
In 0.257 0.257 0.000
In 0.257 0.743 0.000
Li 0.500 0.500 0.000
Ac 0.749 0.251 0.500
Ac 0.251 0.749 0.500

Properties
SG: C2/m (12)
D(E_F) (states/eV per cell): 3.8
Calculated total energy (eV/atom): -3.680



# 13
LiAc2InRh: relaxed, PBE.

Lattice parameters (Å, degrees): 4.245 8.469 8.685 110.21 90.00 90.00
Atoms (fractional coordinates):
Li 0.750 0.432 0.352
Li 0.250 0.568 0.648
In 0.250 0.668 0.328
In 0.750 0.332 0.672
Ac 0.750 0.719 0.019
Ac 0.250 0.281 0.981
Ac 0.250 0.103 0.342
Ac 0.750 0.897 0.658
Rh 0.750 0.108 0.102
Rh 0.250 0.892 0.898

Properties
SG: P2_1/m (11)
D(E_F) (states/eV per cell): 7.8
Calculated total energy (eV/atom): -4.486



# 14
LiAcInSb: relaxed, PBE.

Lattice parameters (Å, degrees): 5.510 5.510 5.510 60.00 60.00 60.00
Atoms (fractional coordinates):
Ac 0.500 0.500 0.500
Li 0.000 0.000 0.000
In 0.750 0.750 0.750
Sb 0.250 0.250 0.250

Properties
Formation energy without anion corrections (eV/atom): -0.431
SG: F-43m (216)
D(E_F) (states/eV per cell): 2.6
Calculated total energy (eV/atom): -3.652



# 15
LiAcInSe3: relaxed, PBE.

Lattice parameters (Å, degrees): 4.224 8.762 9.172 105.11 90.00 90.00
Atoms (fractional coordinates):
Li 0.250 0.098 0.599
Li 0.750 0.902 0.401
Se 0.750 0.903 0.123
Se 0.750 0.428 0.172
Se 0.250 0.791 0.498
Se 0.250 0.572 0.828
Se 0.750 0.209 0.502
Se 0.250 0.097 0.877
Ac 0.250 0.187 0.236
Ac 0.750 0.813 0.764
In 0.750 0.335 0.846
In 0.250 0.665 0.154

Properties
Formation energy without anion corrections (eV/atom): -1.217
SG: P2_1/m (11)
D(E_F) (states/eV per cell): 6.0
Calculated total energy (eV/atom): -4.420



# 16
Li4Ac2InSi3: relaxed, PBE.

Lattice parameters (Å, degrees): 4.438 4.438 10.875 90.00 90.00 90.00
Atoms (fractional coordinates):
Li 0.000 0.000 0.000
Li 0.500 0.500 0.000
Li 0.000 0.500 0.358
Li 0.500 0.000 0.642
Si 0.000 0.500 0.126
Si 0.500 0.000 0.874
Si 0.000 0.000 0.500
Ac 0.500 0.000 0.229
Ac 0.000 0.500 0.771
In 0.500 0.500 0.500

Properties
Formation energy without anion corrections (eV/atom): -0.344
SG: P-4m2 (115)
D(E_F) (states/eV per cell): 4.8
Calculated total energy (eV/atom): -3.832



# 17
LiAcSmIn: relaxed, PBE.

Lattice parameters (Å, degrees): 5.581 5.581 5.581 60.00 60.00 60.00
Atoms (fractional coordinates):
Sm 0.250 0.250 0.250
Ac 0.750 0.750 0.750
Li 0.000 0.000 0.000
In 0.500 0.500 0.500

Properties
SG: F-43m (216)
D(E_F) (states/eV per cell): 4.0
Calculated total energy (eV/atom): -3.590



# 18
Li2AcSmIn4: relaxed, PBE.

Lattice parameters (Å, degrees): 4.779 4.779 11.246 77.73 77.73 60.00
Atoms (fractional coordinates):
In 0.114 0.114 0.659
In 0.399 0.399 0.804
In 0.886 0.886 0.341
In 0.601 0.601 0.196
Li 0.760 0.760 0.721
Li 0.240 0.240 0.279
Ac 0.000 0.000 0.000
Sm 0.500 0.500 0.500

Properties
SG: R-3m (166)
D(E_F) (states/eV per cell): 4.0
Calculated total energy (eV/atom): -3.344



# 19
Li2AcSm2In2: relaxed, PBE.

Lattice parameters (Å, degrees): 4.991 4.991 9.816 75.27 75.27 60.00
Atoms (fractional coordinates):
In 0.255 0.255 0.236
In 0.745 0.745 0.764
Sm 0.130 0.130 0.609
Sm 0.870 0.870 0.391
Li 0.413 0.413 0.761
Li 0.587 0.587 0.239
Ac 0.000 0.000 0.000

Properties
SG: R-3m (166)
D(E_F) (states/eV per cell): 5.4
Calculated total energy (eV/atom): -3.512



# 20
Li2Ac2SmIn2: relaxed, PBE.

Lattice parameters (Å, degrees): 4.994 4.994 10.099 75.68 75.68 60.00
Atoms (fractional coordinates):
Ac 0.876 0.876 0.373
Ac 0.124 0.124 0.627
In 0.727 0.727 0.818
In 0.273 0.273 0.182
Li 0.384 0.384 0.849
Li 0.616 0.616 0.151
Sm 0.000 0.000 0.000

Properties
SG: R-3m (166)
D(E_F) (states/eV per cell): 5.8
Calculated total energy (eV/atom): -3.425